(1)
First-principles (PBE) data for an optimized crystal structure of CeYPd2, as listed in Alexandria.

Computed properties:
density	7.9	Mg/m³
total energy	-6.49	eV per atom
volume	185	Å³/cell
size of the total moment	0.78	μB per formula unit

Cell: 4.6072 3.7459 10.7330 Å, 90.00 90.00 90.00°
Last column: nearest neighbours and their distance in Å.
Element x y z (fractional)
1 Ce 0.0000 0.0000 0.0000  7 Pd 2.95-3.05
2 Ce 0.0000 0.5000 0.5000  7 Pd 2.95-3.05
3 Y 0.5000 0.0000 0.7264  7 Pd 2.95-3.06
4 Y 0.5000 0.5000 0.2264  7 Pd 2.95-3.06
5 Pd 0.0000 0.0000 0.2752  3 Ce 2.95-3.05, 2 Pd 2.98, 4 Y 3.01
6 Pd 0.0000 0.5000 0.7752  3 Ce 2.95-3.05, 2 Pd 2.98, 4 Y 3.01
7 Pd 0.5000 0.0000 0.4519  3 Y 2.95-3.06, 2 Pd 2.98, 4 Ce 3.01
8 Pd 0.5000 0.5000 0.9519  3 Y 2.95-3.06, 2 Pd 2.98, 4 Ce 3.01

***

(2)
First-principles (PBE) data for an optimized crystal structure of KTc2Te, as listed in Alexandria.

Computed properties:
energy relative to the elements, uncorrected	1.023	eV per atom
density	7.2	Mg/m³
total energy	-5.22	eV per atom
volume	167	Å³/cell
size of the total moment	0.00	μB per formula unit

Cell: 3.0819 5.2550 10.3037 Å, 90.00 90.00 90.00°
Last column: nearest neighbours and their distance in Å.
Element x y z (fractional)
1 K 0.0000 0.0000 0.0000  4 Te 3.05, 2 K 3.08, 8 Tc 3.35-3.41
2 K 0.5000 0.5000 0.5000  4 Te 3.05, 2 K 3.08, 8 Tc 3.35-3.41
3 Tc 0.0000 0.5000 0.2108  2 Te 2.66
4 Tc 0.0000 0.5000 0.7892  2 Te 2.66
5 Tc 0.5000 0.0000 0.2892  2 Te 2.66
6 Tc 0.5000 0.0000 0.7108  2 Te 2.66
7 Te 0.0000 0.0000 0.5000  4 Tc 2.66
8 Te 0.5000 0.5000 0.0000  4 Tc 2.66

***

(3)
First-principles (PBE) data for an optimized crystal structure of TaBeW, as listed in Alexandria.

Computed properties:
density	14.3	Mg/m³
excess energy over the best structure of this formula in the dataset	6.71	kcal/mol of atoms
total energy	-9.38	eV per atom
volume	87	Å³/cell
size of the total moment	0.00	μB per formula unit

Cell: 2.7262 2.7262 11.6782 Å, 90.00 90.00 90.00°
Last column: nearest neighbours and their distance in Å.
Element x y z (fractional)
1 Ta 0.0000 0.0000 0.0000  4 Be 2.62, 4 Ta 2.73
2 Ta 0.5000 0.5000 0.5000  4 Be 2.62, 4 Ta 2.73
3 Be 0.0000 0.0000 0.6521  4 W 2.56, 4 Ta 2.62, 4 Be 2.73
4 Be 0.5000 0.5000 0.1521  4 W 2.56, 4 Ta 2.62, 4 Be 2.73
5 W 0.0000 0.0000 0.2958  4 Be 2.56, 4 W 2.73
6 W 0.5000 0.5000 0.7958  4 Be 2.56, 4 W 2.73

***

(4)
First-principles (PBE) data for an optimized crystal structure of Sc2AlCu, as listed in Alexandria.

Computed properties:
density	3.8	Mg/m³
total energy	-5.21	eV per atom
volume	158	Å³/cell
size of the total moment	0.00	μB per formula unit

Cell: 9.0475 3.2612 5.5257 Å, 90.00 103.94 90.00°
Last column: nearest neighbours and their distance in Å.
Element x y z (fractional)
1 Sc 0.2420 0.0000 0.2451  3 Cu 2.80-2.97, 3 Al 2.87-2.92
2 Sc 0.2580 0.5000 0.7549  3 Cu 2.80-2.97, 3 Al 2.87-2.92
3 Sc 0.7420 0.5000 0.2451  3 Cu 2.80-2.97, 3 Al 2.87-2.92
4 Sc 0.7580 0.0000 0.7549  3 Cu 2.80-2.97, 3 Al 2.87-2.92
5 Al 0.0000 0.0000 0.5000  6 Sc 2.87-2.92, 4 Cu 3.21
6 Al 0.5000 0.5000 0.5000  6 Sc 2.87-2.92, 4 Cu 3.21
7 Cu 0.0000 0.5000 0.0000  6 Sc 2.80-2.97
8 Cu 0.5000 0.0000 0.0000  6 Sc 2.80-2.97

***

(5)
First-principles (PBE) data for an optimized crystal structure of Mn2InRuN, as listed in Alexandria.

Computed properties:
energy relative to the elements, uncorrected	-0.064	eV per atom
density	8.8	Mg/m³
excess energy over the best structure of this formula in the dataset	0.00	kcal/mol of atoms
total energy	-7.80	eV per atom
volume	64	Å³/cell
size of the total moment	4.22	μB per formula unit

Cell: 3.9309 3.9309 4.1540 Å, 90.00 90.00 90.00°
Last column: nearest neighbours and their distance in Å.
Element x y z (fractional)
1 Mn 0.0000 0.5000 0.0000  2 N 1.97
2 Mn 0.5000 0.0000 0.0000  2 N 1.97
3 In 0.0000 0.0000 0.5000  4 Ru 2.78, 8 Mn 2.86
4 Ru 0.5000 0.5000 0.5000  2 N 2.08
5 N 0.5000 0.5000 0.0000  4 Mn 1.97, 2 Ru 2.08

***

(6)
First-principles (PBE) data for an optimized crystal structure of HoZnGaIr, as listed in Alexandria.

Computed properties:
density	12.1	Mg/m³
total energy	-4.95	eV per atom
volume	271	Å³/cell
size of the total moment	0.00	μB per formula unit

Cell: 6.4691 6.4691 6.4691 Å, 90.00 90.00 90.00°
Last column: nearest neighbours and their distance in Å.
Element x y z (fractional)
1 Ho 0.0000 0.0000 0.0000  4 Ga 2.80, 4 Zn 2.80
2 Ho 0.0000 0.5000 0.5000  4 Ga 2.80, 4 Zn 2.80
3 Ho 0.5000 0.0000 0.5000  4 Ga 2.80, 4 Zn 2.80
4 Ho 0.5000 0.5000 0.0000  4 Ga 2.80, 4 Zn 2.80
5 Zn 0.2500 0.2500 0.2500  4 Ho 2.80, 4 Ir 2.80
6 Zn 0.2500 0.7500 0.7500  4 Ho 2.80, 4 Ir 2.80
7 Zn 0.7500 0.2500 0.7500  4 Ho 2.80, 4 Ir 2.80
8 Zn 0.7500 0.7500 0.2500  4 Ho 2.80, 4 Ir 2.80
9 Ga 0.2500 0.2500 0.7500  4 Ir 2.80, 4 Ho 2.80
10 Ga 0.2500 0.7500 0.2500  4 Ir 2.80, 4 Ho 2.80
11 Ga 0.7500 0.2500 0.2500  4 Ir 2.80, 4 Ho 2.80
12 Ga 0.7500 0.7500 0.7500  4 Ir 2.80, 4 Ho 2.80
13 Ir 0.0000 0.0000 0.5000  4 Zn 2.80, 4 Ga 2.80
14 Ir 0.0000 0.5000 0.0000  4 Zn 2.80, 4 Ga 2.80
15 Ir 0.5000 0.0000 0.0000  4 Zn 2.80, 4 Ga 2.80
16 Ir 0.5000 0.5000 0.5000  4 Zn 2.80, 4 Ga 2.80

***

Repeat the fourth record exactly.
First-principles (PBE) data for an optimized crystal structure of Sc2AlCu, as listed in Alexandria.

Computed properties:
density	3.8	Mg/m³
total energy	-5.21	eV per atom
volume	158	Å³/cell
size of the total moment	0.00	μB per formula unit

Cell: 9.0475 3.2612 5.5257 Å, 90.00 103.94 90.00°
Last column: nearest neighbours and their distance in Å.
Element x y z (fractional)
1 Sc 0.2420 0.0000 0.2451  3 Cu 2.80-2.97, 3 Al 2.87-2.92
2 Sc 0.2580 0.5000 0.7549  3 Cu 2.80-2.97, 3 Al 2.87-2.92
3 Sc 0.7420 0.5000 0.2451  3 Cu 2.80-2.97, 3 Al 2.87-2.92
4 Sc 0.7580 0.0000 0.7549  3 Cu 2.80-2.97, 3 Al 2.87-2.92
5 Al 0.0000 0.0000 0.5000  6 Sc 2.87-2.92, 4 Cu 3.21
6 Al 0.5000 0.5000 0.5000  6 Sc 2.87-2.92, 4 Cu 3.21
7 Cu 0.0000 0.5000 0.0000  6 Sc 2.80-2.97
8 Cu 0.5000 0.0000 0.0000  6 Sc 2.80-2.97

***

Question: Which value of total energy does entry 5 give?
Answer: -7.80 eV per atom

***

Question: What is the formula in the fifth record?
Answer: Mn2InRuN